Entry 1:
Tb3Dy5Ho3 (GGA-PBE, optimized geometry); total energy = -3.79 eV/atom; ΔH_f (0 K) = 0.82 eV per atom
1.0
9.632 0.000 0.000
-4.816 8.342 0.000
0.000 0.000 5.502
Tb Dy Ho
3 5 3
direct
0.000 0.544 0.000 Tb
0.456 0.456 0.000 Tb
0.544 0.000 0.000 Tb
0.000 0.724 0.500 Dy
0.276 0.276 0.500 Dy
0.333 0.667 0.500 Dy
0.667 0.333 0.500 Dy
0.724 0.000 0.500 Dy
0.000 0.366 0.500 Ho
0.366 0.000 0.500 Ho
0.634 0.634 0.500 Ho


Entry 2:
GdY2Hg (GGA-PBE, optimized geometry); total energy = -6.99 eV/atom; relative energy among the computed polymorphs = 0.0668 eV per atom; ΔH_f (0 K) = -0.16 eV per atom
1.0
1.813 1.047 10.619
-1.813 1.047 10.619
0.000 -2.094 10.619
Gd Y Hg
1 2 1
direct
0.000 0.000 0.000 Gd
0.242 0.242 0.242 Y
0.758 0.758 0.758 Y
0.500 0.500 0.500 Hg


Entry 3:
TaCo7Sn2As2 (GGA-PBE, optimized geometry); total energy = -6.64 eV/atom; ΔH_f (0 K) = -0.06 eV per atom
1.0
2.555 -2.559 0.000
2.555 2.559 0.000
-1.533 0.000 13.787
Ta Co Sn As
1 7 2 2
direct
0.000 0.000 0.000 Ta
0.041 0.540 0.134 Co
0.372 0.372 0.586 Co
0.460 0.959 0.866 Co
0.500 0.500 0.000 Co
0.540 0.041 0.134 Co
0.628 0.628 0.414 Co
0.959 0.460 0.866 Co
0.129 0.129 0.402 Sn
0.871 0.871 0.598 Sn
0.425 0.425 0.758 As
0.575 0.575 0.242 As


Entry 4:
Sr2MgC2 (GGA-PBE, optimized geometry); total energy = -3.38 eV/atom; ΔH_f (0 K) = 1.30 eV per atom
1.0
8.019 0.000 0.000
0.000 8.019 0.000
0.000 0.000 3.077
Sr Mg C
4 2 4
direct
0.135 0.365 0.000 Sr
0.365 0.865 0.000 Sr
0.635 0.135 0.000 Sr
0.865 0.635 0.000 Sr
0.000 0.000 0.000 Mg
0.500 0.500 0.000 Mg
0.168 0.668 0.500 C
0.332 0.168 0.500 C
0.668 0.832 0.500 C
0.832 0.332 0.500 C


Entry 5:
BaZnFeAu2 (GGA-PBE, optimized geometry); total energy = -3.05 eV/atom; ΔH_f (0 K) = 0.59 eV per atom
1.0
4.965 0.000 0.000
0.000 4.965 0.000
0.000 0.000 5.835
Ba Zn Fe Au
1 1 1 2
direct
0.000 0.000 0.000 Ba
0.000 0.000 0.500 Zn
0.500 0.500 0.000 Fe
0.000 0.500 0.500 Au
0.500 0.000 0.500 Au


Entry 6:
Zn3NiMo (GGA-PBE, optimized geometry); total energy = -2.66 eV/atom; ΔH_f (0 K) = 1.43 eV per atom
1.0
4.846 0.000 0.000
0.000 4.846 0.000
0.000 0.000 4.846
Zn Ni Mo
3 1 1
direct
0.000 0.000 0.500 Zn
0.000 0.500 0.000 Zn
0.500 0.000 0.000 Zn
0.500 0.500 0.500 Ni
0.000 0.000 0.000 Mo


Entry 7:
CaSmPu2As4 (GGA-PBE, optimized geometry); total energy = -7.87 eV/atom; ΔH_f (0 K) = -1.13 eV per atom
1.0
-2.957 2.957 5.876
2.957 -2.957 5.876
2.957 2.957 -5.876
Ca Sm Pu As
1 1 2 4
direct
0.000 0.000 0.000 Ca
0.500 0.500 0.000 Sm
0.250 0.750 0.500 Pu
0.750 0.250 0.500 Pu
0.000 0.500 0.500 As
0.253 0.253 0.000 As
0.500 0.000 0.500 As
0.747 0.747 0.000 As


Entry 8:
Re3MoPd (GGA-PBE, optimized geometry); total energy = -8.46 eV/atom; relative energy among the computed polymorphs = 0.0000 eV per atom; ΔH_f (0 K) = 2.21 eV per atom
1.0
4.661 0.000 0.000
0.000 4.661 0.000
0.000 0.000 4.661
Re Mo Pd
3 1 1
direct
0.000 0.000 0.500 Re
0.000 0.500 0.000 Re
0.500 0.000 0.000 Re
0.000 0.000 0.000 Mo
0.500 0.500 0.500 Pd


Entry 9:
NdCo4B4 (GGA-PBE, optimized geometry); total energy = -7.07 eV/atom; relative energy among the computed polymorphs = 0.0446 eV per atom; ΔH_f (0 K) = -0.42 eV per atom
1.0
5.057 0.000 0.000
0.000 5.057 0.000
0.000 0.000 7.076
Nd Co B
2 8 8
direct
0.250 0.750 0.250 Nd
0.750 0.250 0.750 Nd
0.005 0.750 0.616 Co
0.250 0.505 0.884 Co
0.250 0.995 0.884 Co
0.495 0.750 0.616 Co
0.505 0.250 0.384 Co
0.750 0.005 0.116 Co
0.750 0.495 0.116 Co
0.995 0.250 0.384 Co
0.076 0.250 0.089 B
0.250 0.076 0.589 B
0.250 0.424 0.589 B
0.424 0.250 0.089 B
0.576 0.750 0.911 B
0.750 0.576 0.411 B
0.750 0.924 0.411 B
0.924 0.750 0.911 B


Entry 10:
AgHg4I4 (GGA-PBE, optimized geometry); total energy = -1.28 eV/atom; energy relative to the elements, uncorrected = -144.8 meV per atom
1.0
11.936 0.000 0.000
0.000 6.142 0.000
-9.210 0.000 12.110
Ag Hg I
2 8 8
direct
0.000 0.180 0.250 Ag
0.000 0.820 0.750 Ag
0.088 0.056 0.969 Hg
0.088 0.944 0.469 Hg
0.398 0.356 0.442 Hg
0.398 0.644 0.942 Hg
0.602 0.356 0.058 Hg
0.602 0.644 0.558 Hg
0.912 0.056 0.531 Hg
0.912 0.944 0.031 Hg
0.146 0.460 0.448 I
0.146 0.540 0.948 I
0.261 0.001 0.301 I
0.261 0.999 0.801 I
0.739 0.001 0.199 I
0.739 0.999 0.699 I
0.854 0.460 0.052 I
0.854 0.540 0.552 I


Entry 11:
Mg6GaHg (GGA-PBE, optimized geometry); total energy = -1.68 eV/atom; relative energy among the computed polymorphs = 0.0442 eV per atom; ΔH_f (0 K) = -0.07 eV per atom
1.0
3.142 -4.606 0.000
3.142 4.606 0.000
-2.179 0.000 5.971
Mg Ga Hg
6 1 1
direct
0.161 0.665 0.742 Mg
0.250 0.250 0.996 Mg
0.335 0.839 0.258 Mg
0.665 0.161 0.742 Mg
0.750 0.750 0.004 Mg
0.839 0.335 0.258 Mg
0.000 0.000 0.500 Ga
0.500 0.500 0.500 Hg


Entry 12:
Ho5Mg2In2 (GGA-PBE, optimized geometry); total energy = -3.60 eV/atom; ΔH_f (0 K) = -0.09 eV per atom
1.0
8.257 -4.321 0.000
8.257 4.321 0.000
0.000 0.000 7.317
Ho Mg In
10 4 4
direct
0.000 0.000 0.000 Ho
0.042 0.666 0.665 Ho
0.166 0.542 0.165 Ho
0.334 0.958 0.665 Ho
0.458 0.834 0.165 Ho
0.500 0.500 0.500 Ho
0.542 0.166 0.835 Ho
0.666 0.042 0.335 Ho
0.834 0.458 0.835 Ho
0.958 0.334 0.335 Ho
0.136 0.864 0.389 Mg
0.364 0.636 0.889 Mg
0.636 0.364 0.111 Mg
0.864 0.136 0.611 Mg
0.208 0.208 0.000 In
0.292 0.292 0.500 In
0.708 0.708 0.500 In
0.792 0.792 0.000 In